# 1
Computed, not measured: a crystal of LiCuRe2 relaxed with PBEsol at the meta-GGA SCAN level of DFT.

Total magnetization: 0.00 μB per cell
Energy: -39.663 eV/atom
Space group: Pmmm, No. 47
Calculated volume: 13.29 A^3/atom

a b c (Å): 3.108 4.004 4.274
angles (deg): 90.00 90.00 90.00
Sites, in units of the cell vectors:
Li  0.000  0.500  0.500
Re  0.000  0.000  0.000
Cu  0.500  0.000  0.500
Re  0.500  0.500  0.000

=====

# 2
Computed, not measured: a crystal of LiCuRe relaxed with PBEsol at the meta-GGA SCAN level of DFT.

Total magnetization: 1.02 μB per cell
Energy: -28.464 eV/atom
Space group: F-43m, No. 216
Calculated volume: 14.33 A^3/atom

a b c (Å): 3.932 3.932 3.932
angles (deg): 60.00 60.00 60.00
Sites, in units of the cell vectors:
Li  0.000  0.000  0.000
Re  0.500  0.500  0.500
Cu  0.250  0.250  0.250

=====

# 3
Computed, not measured: a crystal of LiCu2Re relaxed with PBEsol at the meta-GGA SCAN level of DFT.

Energy relative to the lowest polymorph listed for this composition: 0.169 eV/atom
Total magnetization: 0.00 μB per cell
Space group: Pmmm, No. 47
Calculated volume: 12.40 A^3/atom

a b c (Å): 2.517 4.419 4.459
angles (deg): 90.00 90.00 90.00
Sites, in units of the cell vectors:
Li  0.500  0.000  0.500
Cu  0.500  0.500  0.000
Re  0.000  0.500  0.500
Cu  0.000  0.000  0.000

=====

# 4
Computed, not measured: a crystal of LiCu2Rh relaxed with PBEsol at the meta-GGA SCAN level of DFT.

Total magnetization: 0.00 μB per cell
Energy: -16.660 eV/atom
Space group: I-4m2, No. 119
Calculated volume: 11.92 A^3/atom

a b c (Å): 3.620 3.620 4.450
angles (deg): 114.00 114.00 90.00
Sites, in units of the cell vectors:
Cu  0.000  0.000  0.000
Li  0.500  0.500  0.000
Rh  0.250  0.750  0.500
Cu  0.750  0.250  0.500

=====

# 5
Computed, not measured: a crystal of LiCu2Rh relaxed with PBEsol at the meta-GGA SCAN level of DFT.

Total magnetization: 0.00 μB per cell
Energy: -16.624 eV/atom
Space group: Pmm2, No. 25
Calculated volume: 12.13 A^3/atom

a b c (Å): 2.489 3.791 5.144
angles (deg): 90.00 90.00 90.00
Sites, in units of the cell vectors:
Cu  0.000  0.000  0.004
Cu  0.500  0.500  0.247
Rh  0.500  0.500  0.751
Li  0.000  0.000  0.498

=====

# 6
Computed, not measured: a crystal of LiCu2Rh2 relaxed with PBEsol at the meta-GGA SCAN level of DFT.

Total magnetization: 1.65 μB per cell
Energy: -19.732 eV/atom
Space group: I4/mmm, No. 139
Calculated volume: 13.69 A^3/atom

a b c (Å): 3.331 3.331 6.602
angles (deg): 104.61 104.61 90.00
Sites, in units of the cell vectors:
Rh  0.401  0.401  0.802
Rh  0.599  0.599  0.198
Cu  0.750  0.250  0.500
Li  0.000  0.000  0.000
Cu  0.250  0.750  0.500

=====

# 7
Computed, not measured: a crystal of LiCu4Rh relaxed with PBEsol at the meta-GGA SCAN level of DFT.

Total magnetization: 0.00 μB per cell
Energy: -16.125 eV/atom
Space group: F-43m, No. 216
Calculated volume: 12.30 A^3/atom

a b c (Å): 4.708 4.708 4.708
angles (deg): 60.00 60.00 60.00
Sites, in units of the cell vectors:
Cu  0.125  0.625  0.625
Cu  0.625  0.625  0.125
Rh  0.000  0.000  0.000
Cu  0.625  0.125  0.625
Cu  0.625  0.625  0.625
Li  0.250  0.250  0.250

=====

# 8
Computed, not measured: a crystal of LiCu2Rh relaxed with PBEsol at the meta-GGA SCAN level of DFT.

Total magnetization: 0.54 μB per cell
Energy: -16.651 eV/atom
Space group: C2/m, No. 12
Calculated volume: 12.08 A^3/atom

a b c (Å): 2.525 4.449 4.535
angles (deg): 98.67 106.16 90.00
Sites, in units of the cell vectors:
Cu  0.254  0.252  0.508
Cu  0.746  0.748  0.492
Li  0.500  0.000  0.000
Rh  0.000  0.500  0.000

=====

# 9
Computed, not measured: a crystal of LiCu2Rh relaxed with PBEsol at the meta-GGA SCAN level of DFT.

Total magnetization: 0.00 μB per cell
Energy: -16.663 eV/atom
Space group: I4/mmm, No. 139
Calculated volume: 12.01 A^3/atom

a b c (Å): 3.749 3.749 4.326
angles (deg): 115.68 115.68 90.00
Sites, in units of the cell vectors:
Cu  0.750  0.250  0.500
Rh  0.000  0.000  0.000
Cu  0.250  0.750  0.500
Li  0.500  0.500  0.000

=====

# 10
Computed, not measured: a crystal of LiCu2Rh relaxed with PBEsol at the meta-GGA SCAN level of DFT.

Total magnetization: 0.51 μB per cell
Energy: -16.662 eV/atom
Space group: P2/m, No. 10
Calculated volume: 11.99 A^3/atom

a b c (Å): 2.478 4.018 4.961
angles (deg): 90.00 103.71 90.00
Sites, in units of the cell vectors:
Cu  0.914  0.000  0.246
Li  0.500  0.500  0.000
Rh  0.500  0.500  0.500
Cu  0.086  0.000  0.754

=====

# 11
Computed, not measured: a crystal of LiCu2Rh relaxed with PBEsol at the meta-GGA SCAN level of DFT.

Total magnetization: 0.00 μB per cell
Energy: -16.731 eV/atom
Space group: Cmmm, No. 65
Calculated volume: 12.09 A^3/atom

a b c (Å): 2.634 4.390 4.390
angles (deg): 107.68 90.00 90.00
Sites, in units of the cell vectors:
Cu  0.000  0.000  0.500
Li  0.500  0.000  0.000
Rh  0.500  0.500  0.500
Cu  0.000  0.500  0.000

=====

# 12
Computed, not measured: a crystal of LiCu2Rh relaxed with PBEsol at the meta-GGA SCAN level of DFT.

Total magnetization: 0.00 μB per cell
Energy: -16.643 eV/atom
Space group: F-43m, No. 216
Calculated volume: 11.82 A^3/atom

a b c (Å): 4.059 4.059 4.059
angles (deg): 60.00 60.00 60.00
Sites, in units of the cell vectors:
Cu  0.000  0.000  0.000
Cu  0.750  0.750  0.750
Li  0.500  0.500  0.500
Rh  0.250  0.250  0.250

=====

# 13
Computed, not measured: a crystal of LiCu2Rh relaxed with PBEsol at the meta-GGA SCAN level of DFT.

Total magnetization: 0.00 μB per cell
Energy: -16.659 eV/atom
Space group: R3m, No. 160
Calculated volume: 12.34 A^3/atom

a b c (Å): 2.591 2.591 8.614
angles (deg): 81.36 81.36 60.09
Sites, in units of the cell vectors:
Cu  0.747  0.747  0.758
Rh  0.251  0.251  0.248
Li  0.500  0.500  0.500
Cu  0.002  0.002  0.995

=====

# 14
Computed, not measured: a crystal of LiCu2Rh relaxed with PBEsol at the meta-GGA SCAN level of DFT.

Total magnetization: 0.00 μB per cell
Energy: -16.658 eV/atom
Space group: Imm2, No. 44
Calculated volume: 11.99 A^3/atom

a b c (Å): 2.871 4.118 4.769
angles (deg): 115.58 107.52 90.00
Sites, in units of the cell vectors:
Cu  0.750  0.250  0.499
Rh  0.250  0.750  0.501
Cu  0.008  0.008  0.015
Li  0.492  0.492  0.984

=====

# 15
Computed, not measured: a crystal of LiCu2Rh relaxed with PBEsol at the meta-GGA SCAN level of DFT.

Total magnetization: 0.00 μB per cell
Energy: -16.716 eV/atom
Space group: P4/mmm, No. 123
Calculated volume: 12.16 A^3/atom

a b c (Å): 2.799 4.168 4.168
angles (deg): 90.00 90.00 90.00
Sites, in units of the cell vectors:
Rh  0.500  0.000  0.000
Cu  0.000  0.500  0.000
Cu  0.000  0.000  0.500
Li  0.500  0.500  0.500